First-principles (PBE with a Hubbard U) data for a geometry-optimized MoAsNF2 structure, as listed in Alexandria via LeMat-Bulk.

```
MoAsNF2
1.0
4.1761 0.0000 0.0000
0.0000 4.1761 0.0000
0.0000 0.0000 4.1630
Mo As N F
1 1 1 2
direct
0.5000 0.5000 0.5000
0.0000 0.0000 0.0000
0.0000 0.0000 0.5000
0.0000 0.5000 0.0000
0.5000 0.0000 0.0000
```

Calculated values
- Electronic total energy: -24.6 eV for the cell shown
- Calculated volume: 14.52 A^3/atom
- Symmetry: P4/mmm, No. 123
- D(E_F): 1.370 states/eV per cell